No. 1
First-principles (GGA+U) data for a relaxed YW3O8 crystal, as listed in the Alexandria database.

Unit cell a=5.857 b=5.454 c=10.931 alpha=62.43 beta=90.00 gamma=90.00
Site moments in Bohr magnetons follow the coordinates.
Element x y z (fractional)
Y1 0.671 0.500 0.750  0.03
Y2 0.329 0.500 0.250  0.03
W1 0.340 0.000 0.750  1.08
W2 0.660 0.000 0.250  1.08
W3 0.151 0.754 0.498  1.91
W4 0.151 0.246 0.002  1.91
W5 0.849 0.246 0.502  1.91
W6 0.849 0.754 0.998  1.91
O1 0.359 0.199 0.858  -0.02
O2 0.359 0.801 0.642  -0.02
O3 0.641 0.801 0.142  -0.02
O4 0.641 0.199 0.358  -0.02
O5 0.894 0.702 0.381  0.01
O6 0.894 0.298 0.119  0.01
O7 0.106 0.298 0.619  0.01
O8 0.106 0.702 0.881  0.01
O9 0.594 0.738 0.872  0.02
O10 0.594 0.262 0.628  0.02
O11 0.406 0.262 0.128  0.02
O12 0.406 0.738 0.372  0.02
O13 0.888 0.184 0.897  0.01
O14 0.112 0.816 0.103  0.01
O15 0.888 0.816 0.603  0.01
O16 0.112 0.184 0.397  0.01

* magnetization: 0.42 μB per atom
* energy above the lowest structure with this stoichiometry: 0.000 eV per atom

=====

No. 2
First-principles (GGA+U) data for a relaxed Y2W2O7 crystal, as listed in the Alexandria database.

Unit cell a=7.328 b=7.328 c=7.426 alpha=61.02 beta=61.02 gamma=60.57
Site moments in Bohr magnetons follow the coordinates.
Element x y z (fractional)
Y1 0.000 0.500 0.500  0.02
Y2 0.500 0.000 0.500  0.02
Y3 0.500 0.500 0.500  0.03
Y4 0.500 0.500 0.000  0.01
W1 0.500 0.000 0.000  1.90
W2 0.000 0.500 0.000  1.90
W3 0.000 0.000 0.000  2.70
W4 0.000 0.000 0.500  1.03
O1 0.376 0.376 0.376  0.00
O2 0.624 0.624 0.624  0.00
O3 0.088 0.673 0.662  0.01
O4 0.357 0.905 0.896  0.01
O5 0.673 0.088 0.662  0.01
O6 0.091 0.091 0.651  0.01
O7 0.663 0.663 0.108  0.01
O8 0.095 0.643 0.104  0.01
O9 0.643 0.095 0.104  0.01
O10 0.337 0.337 0.892  0.01
O11 0.909 0.909 0.349  0.01
O12 0.912 0.327 0.338  0.01
O13 0.905 0.357 0.896  0.01
O14 0.327 0.912 0.338  0.01

* magnetization: 0.36 μB per atom
* energy: -8.375 eV/atom

=====

No. 3
First-principles (GGA+U) data for a relaxed YW2O crystal, as listed in the Alexandria database.

Unit cell a=5.718 b=5.718 c=6.815 alpha=65.20 beta=65.20 gamma=90.00
Site moments in Bohr magnetons follow the coordinates.
Element x y z (fractional)
Y1 0.000 0.000 0.000  -0.28
Y2 0.750 0.250 0.500  -0.28
O1 0.500 0.500 0.000  0.01
O2 0.250 0.750 0.500  0.01
W1 0.375 0.125 0.250  0.98
W2 0.375 0.625 0.250  0.96
W3 0.375 0.625 0.750  1.02
W4 0.875 0.625 0.750  1.05

* magnetization: 0.39 μB per atom
* energy: -5.878 eV/atom

=====

No. 4
First-principles (GGA+U) data for a relaxed Y4W6O19 crystal, as listed in the Alexandria database.

Unit cell a=7.894 b=7.894 c=7.894 alpha=109.47 beta=109.47 gamma=109.47
Site moments in Bohr magnetons follow the coordinates.
Element x y z (fractional)
Y1 0.000 0.000 0.712  0.01
Y2 0.000 0.712 0.000  0.01
Y3 0.288 0.288 0.288  0.01
Y4 0.712 0.000 0.000  0.01
W1 0.358 0.500 0.858  0.58
W2 0.642 0.500 0.142  0.58
W3 0.142 0.642 0.500  0.58
W4 0.858 0.358 0.500  0.58
W5 0.500 0.858 0.358  0.58
W6 0.500 0.142 0.642  0.58
O1 0.683 0.000 0.683  0.03
O2 0.317 0.000 0.317  0.03
O3 0.317 0.317 0.000  0.03
O4 0.683 0.683 0.000  0.03
O5 0.000 0.683 0.683  0.03
O6 0.000 0.317 0.317  0.03
O7 0.000 0.000 0.000  0.00
O8 0.376 0.328 0.618  0.00
O9 0.624 0.243 0.953  0.00
O10 0.710 0.757 0.382  0.00
O11 0.953 0.624 0.243  0.00
O12 0.290 0.672 0.047  0.00
O13 0.618 0.376 0.328  0.00
O14 0.047 0.290 0.672  0.00
O15 0.382 0.710 0.757  0.00
O16 0.672 0.047 0.290  0.00
O17 0.243 0.953 0.624  0.00
O18 0.328 0.618 0.376  0.00
O19 0.757 0.382 0.710  0.00

* magnetization: 0.14 μB per atom
* energy: -8.016 eV/atom